A relaxed structure of SiIr2Pt. Source: Alexandria, functional PBE.

Cell: 7.358 7.358 7.358 Å, 140.59 140.59 56.96°
Fractional positions:
Si 0.000 0.000 0.000
Si 0.750 0.250 0.500
Ir 0.090 0.625 0.965
Ir 0.375 0.340 0.465
Ir 0.660 0.125 0.035
Ir 0.875 0.910 0.535
Pt 0.250 0.750 0.500
Pt 0.500 0.500 0.000

Values from the calculation:
SG ... No. 122
DFT total energy ... -6.814 eV per atom
Crystal system ... tetragonal
Energy relative to the elements, uncorrected ... 1.93 eV/f.u.


A relaxed structure of SiIr2Pt. Source: Alexandria, functional PBE.

Cell: 2.757 3.748 5.595 Å, 90.00 90.00 90.00°
Fractional positions:
Si 0.000 0.000 0.000
Ir 0.000 0.000 0.465
Ir 0.500 0.500 0.211
Pt 0.500 0.500 0.727

Values from the calculation:
SG ... No. 25
DFT total energy ... -7.358 eV per atom
Crystal system ... orthorhombic
Energy relative to the elements, uncorrected ... -0.24 eV/f.u.


A relaxed structure of Si2IrPt. Source: Alexandria, functional PBE.

Cell: 4.347 4.347 3.007 Å, 90.00 90.00 99.52°
Fractional positions:
Si 0.000 0.500 0.000
Si 0.500 0.000 0.000
Ir 0.000 0.000 0.500
Pt 0.500 0.500 0.500

Values from the calculation:
SG ... No. 65
DFT total energy ... -6.667 eV per atom
Crystal system ... orthorhombic
Energy relative to the lowest polymorph listed for this composition ... 354 meV/atom
Energy relative to the elements, uncorrected ... -0.92 eV/f.u.


> What is the DFT total energy in the first record?

-6.814 eV per atom


> Which formula does entry 3 have?

Si2IrPt


> Which of these has the lowest DFT total energy?

number 2


> Among the records above, which one has the lowest energy relative to the elements, uncorrected?

Si2IrPt